1.
SbTe2Pd | the Alexandria database | PBE | optimized geometry; total moment = 0.0 μB/f.u.; E_tot = -15.692 eV per formula unit; ΔE_f (raw) = -0.02 eV/atom
1.0
2.274 0.000 8.993
-1.137 1.970 8.993
-1.137 -1.970 8.993
Te Pd Sb
2 1 1
Cartesian
0.000 0.000 23.956
0.000 0.000 3.022
0.000 0.000 13.489
0.000 0.000 0.000

=====

2.
FeSbPt | the Alexandria database | PBE | optimized geometry; total moment = 3.2 μB/f.u.; E_tot = -18.427 eV per formula unit; ΔE_f (raw) = 0.07 eV/atom
1.0
6.189 0.000 0.000
0.000 6.189 0.000
0.000 0.000 6.189
Pt Sb Fe
4 4 4
Cartesian
0.244 5.945 2.850
5.945 2.850 0.244
3.339 3.339 3.339
2.850 0.244 5.945
1.174 1.920 4.269
1.920 4.269 1.174
5.015 5.015 5.015
4.269 1.174 1.920
2.692 5.787 3.497
0.402 0.402 0.402
3.497 2.692 5.787
5.787 3.497 2.692

=====

3.
TeIO | the Alexandria database | PBE | optimized geometry; total moment = 0.0 μB/f.u.; distance to the lowest polymorph of the same formula = 246.7 meV/atom; E_tot = -10.348 eV per formula unit; ΔE_f (raw) = -0.23 eV/atom
1.0
3.439 0.000 0.006
0.000 4.204 0.000
-0.034 0.000 6.098
O Te I
1 1 1
Cartesian
1.720 2.938 0.003
1.720 1.031 0.003
1.702 0.576 3.052

=====

4.
Dy3Hg2Au3 | the Alexandria database | PBE | optimized geometry; total moment = 0.0 μB/f.u.; distance to the lowest polymorph of the same formula = 35.4 meV/atom; E_tot = -29.228 eV per formula unit; formation energy = -0.62 eV/atom
1.0
-0.474 0.069 -5.907
-1.109 -8.655 -0.012
-6.917 5.284 0.617
Au Dy Hg
6 6 4
Cartesian
-3.257 -1.167 -4.211
-2.620 1.928 -1.254
-5.242 -2.135 -1.091
-1.063 -5.474 -4.438
-0.519 -3.112 -1.481
-4.771 3.425 -4.037
-2.379 1.597 -4.250
-6.033 -2.333 -4.002
-0.680 -2.480 -4.434
-5.012 3.756 -1.041
-2.466 -0.969 -1.300
-0.903 -6.106 -1.485
-3.045 -4.009 0.198
-4.981 0.638 0.407
-5.218 0.672 -2.546
-3.282 -3.974 -2.756

=====

5.
CePaRhS4 | the Alexandria database | PBE | optimized geometry; total moment = 0.4 μB/f.u.; E_tot = -49.316 eV per formula unit; ΔE_f (raw) = -1.43 eV/atom
1.0
-1.023 2.878 -5.683
-5.403 1.460 1.712
2.947 5.376 4.718
S Pa Ce Rh
8 2 2 2
Cartesian
-0.347 4.151 -4.283
-2.858 4.830 -3.488
-0.621 4.884 4.234
-4.161 3.003 -0.684
-2.686 5.691 1.678
0.682 6.712 1.431
-3.132 5.563 5.030
-0.793 4.024 -0.932
-3.520 5.645 -0.917
0.042 4.070 1.663
-1.427 1.387 -0.685
-2.052 8.327 1.431
-3.344 3.511 1.460
-0.135 6.203 -0.714

=====

6.
AcDySi2Au2 | the Alexandria database | PBE | optimized geometry; total moment = 0.0 μB/f.u.; E_tot = -30.966 eV per formula unit; ΔE_f (raw) = -0.81 eV/atom
1.0
-2.049 -0.309 3.860
4.122 -1.427 -0.412
2.801 7.488 2.087
Si Au Dy Ac
2 2 1 1
Cartesian
4.118 4.435 2.542
0.755 1.317 2.993
2.020 4.697 3.935
2.854 1.056 1.600
1.401 3.744 1.043
0.000 0.000 0.000

=====

7.
Pa2Ni6Au | the Alexandria database | PBE | optimized geometry; total moment = 0.0 μB/f.u.; E_tot = -57.658 eV per formula unit; formation energy = -0.08 eV/atom
1.0
3.281 0.000 0.000
1.641 7.196 1.601
1.641 2.990 6.739
Au Pa Ni
1 2 6
Cartesian
0.000 0.000 0.000
4.922 6.521 5.339
1.641 3.665 3.001
3.281 1.983 4.311
3.281 5.873 3.217
3.281 4.617 1.093
3.281 5.569 7.247
3.281 4.313 5.122
3.281 8.203 4.029

=====

8.
Nd2GdZr | the Alexandria database | PBE | optimized geometry; total moment = 7.1 μB/f.u.; distance to the lowest polymorph of the same formula = 0.0 meV/atom; E_tot = -31.658 eV per formula unit; formation energy = 0.13 eV/atom
1.0
4.927 0.000 0.000
0.000 4.987 0.000
0.000 0.000 4.987
Zr Nd Gd
1 2 1
Cartesian
2.463 0.000 0.000
0.000 2.493 0.000
0.000 0.000 2.493
2.463 2.493 2.493

=====

9.
SnTe2O | the Alexandria database | PBE | optimized geometry; total moment = 0.0 μB/f.u.; distance to the lowest polymorph of the same formula = 464.9 meV/atom; E_tot = -13.794 eV per formula unit; ΔE_f (raw) = 0.36 eV/atom
1.0
0.000 3.523 3.523
3.523 0.000 3.523
3.523 3.523 0.000
Sn Te O
1 2 1
Cartesian
3.523 3.523 3.523
5.285 5.285 5.285
1.762 1.762 1.762
0.000 0.000 0.000

=====

10.
Ba2NpO4 | the Alexandria database | PBE | optimized geometry; total moment = 3.0 μB/f.u.; distance to the lowest polymorph of the same formula = 8.4 meV/atom; E_tot = -56.328 eV per formula unit; ΔE_f (raw) = -2.82 eV/atom
1.0
-3.460 0.225 -1.240
-1.825 -4.594 4.258
-2.161 7.742 7.428
O Ba Np
8 4 2
Cartesian
-4.323 6.146 7.705
-2.274 -1.511 6.069
-3.122 -2.773 2.740
-2.925 3.441 8.781
-4.358 0.705 6.819
-1.060 -0.294 2.905
-3.087 2.667 3.627
-1.711 4.659 5.617
-2.222 1.203 0.951
-3.451 0.039 4.167
-5.223 2.169 9.495
-3.994 3.333 6.278
-0.912 -2.297 2.129
-1.080 3.871 3.714

=====

11.
InPb2Au | the Alexandria database | PBE | optimized geometry; total moment = 0.0 μB/f.u.; E_tot = -13.247 eV per formula unit; formation energy = 0.05 eV/atom
1.0
-0.342 -3.497 -0.881
5.556 -0.415 -0.510
0.372 -1.330 5.136
Pb Au In
2 1 1
Cartesian
0.000 0.000 0.000
2.607 -1.956 -0.695
0.015 -2.413 2.127
2.964 -0.873 2.313

=====

12.
NdErPtAu | the Alexandria database | PBE | optimized geometry; total moment = 0.0 μB/f.u.; distance to the lowest polymorph of the same formula = 0.0 meV/atom; E_tot = -22.745 eV per formula unit; formation energy = -1.02 eV/atom
1.0
-3.057 -2.302 0.103
2.544 -3.458 -1.795
2.890 -0.433 4.928
Nd Pt Au Er
1 1 1 1
Cartesian
0.381 -0.443 1.394
1.118 -1.301 4.091
-0.025 -3.150 0.002
0.735 -4.034 2.781